Record 1
This record from the Alexandria database describes crystalline CuAgAs2H3O8 at its relaxed geometry. The functional is PBE.

Structure (POSCAR):
```
CuAgAs2H3O8
1.0
9.4537 0.0000 0.0000
0.0000 7.8994 0.0000
-2.5882 0.0000 9.4992
Cu Ag As H O
4 4 8 12 32
Cartesian
0.8819 1.4313 0.0813 Cu
-0.4122 2.5184 4.8309 Cu
7.2777 5.3810 4.6683 Cu
5.9836 6.4682 9.4179 Cu
1.1780 5.8151 4.9386 Ag
2.4722 6.0341 0.1890 Ag
4.3933 1.8654 9.3102 Ag
5.6875 2.0844 4.5606 Ag
-0.2450 3.9737 1.9409 As
-1.5392 7.8754 6.6905 As
3.6013 1.4739 1.7244 As
2.3072 2.4758 6.4740 As
4.5583 5.4236 3.0252 As
3.2642 6.4255 7.7748 As
8.4047 0.0240 2.8087 As
7.1105 3.9257 7.5583 As
-0.0416 3.9835 7.3434 H
1.2525 7.8657 2.5938 H
1.9007 0.3746 8.0544 H
2.8433 1.3375 4.5738 H
1.5492 2.6122 9.3234 H
3.1948 3.5751 3.3048 H
3.6707 4.3243 6.1944 H
5.3163 5.2873 0.1758 H
4.0222 6.5619 4.9255 H
4.9648 7.5248 1.4448 H
5.6130 0.0338 6.9054 H
6.9071 3.9160 2.1558 H
0.2545 5.4263 1.1542 O
-1.0396 6.4228 5.9038 O
-0.2839 4.1220 3.6687 O
-1.5780 7.7271 8.4183 O
-0.5333 1.2969 6.3237 O
0.7608 2.6529 1.5741 O
-0.6649 4.2281 8.0942 O
0.6292 7.6210 3.3446 O
2.2806 0.4671 1.2623 O
0.9864 3.4826 6.0120 O
3.0420 4.5920 3.3044 O
1.7479 7.2572 8.0540 O
2.4786 1.0510 5.4817 O
3.7727 2.8987 0.7320 O
2.2525 1.8960 8.0762 O
3.5467 2.0537 3.3266 O
3.3188 5.8458 6.1726 O
4.6130 6.0034 1.4230 O
3.0928 5.0007 8.7672 O
4.3869 6.8484 4.0176 O
5.1176 0.6422 1.4452 O
3.8235 3.3075 6.1948 O
5.8791 4.4168 3.4873 O
4.5849 7.4323 8.2369 O
6.2363 0.2784 6.1546 O
7.5304 3.6713 1.4050 O
6.1047 5.2466 7.9251 O
7.3988 6.6026 3.1755 O
8.4435 0.1723 1.0809 O
7.1494 3.7774 5.8305 O
7.9051 1.4766 3.5954 O
6.6110 2.4731 8.3450 O
```

=====

Record 2
PBE Cu2AgAsIr, optimized geometry; D(E_F) = 0.453 states/eV/atom; formation energy = 0.59 eV/atom
1.0
4.4742 0.0000 0.0000
0.0000 4.4742 0.0000
0.0000 0.0000 4.6087
Cu Ag As Ir
2 1 1 1
Cartesian
0.0000 2.2371 0.0000 Cu
2.2371 0.0000 0.0000 Cu
0.0000 0.0000 2.3043 Ag
2.2371 2.2371 0.0000 As
2.2371 2.2371 2.3043 Ir

=====

Record 3
PBE KCu2AgAs, optimized geometry; D(E_F) = 0.555 states/eV/atom; formation energy = 0.88 eV/atom
1.0
4.8703 0.0000 0.0000
0.0000 4.8703 0.0000
0.0000 0.0000 5.6818
K Cu Ag As
1 2 1 1
Cartesian
0.0000 0.0000 0.0000 K
0.0000 2.4352 2.8409 Cu
2.4352 0.0000 2.8409 Cu
0.0000 0.0000 2.8409 Ag
2.4352 2.4352 0.0000 As

=====

Summary of total moment in μB/cell
4.0 0.0 0.9
(order as listed above)
Summary of VASP energy in eV per atom
-5.33 -4.32 -2.48
(order as listed above)